Compound: FeCuSb2
Source: Alexandria
Functional: PBE
Structure: relaxed

abc: 6.6512 6.6512 6.6512
angles: 153.11 145.56 44.23
Each line ends with the local moment (μB).
Fractional positions:
1 Cu 0.4351 0.4351 0.0000  -0.01
2 Fe 0.2270 0.7270 0.5000  1.14
3 Sb 0.0539 0.0539 0.0000  -0.04
4 Sb 0.7840 0.2840 0.5000  -0.03

## Properties
The formation energy (no corrections) comes out at 246.8 meV per atom. As for the space-group type: Imm2. The value obtained for the density of states at the Fermi level is 2.93 states/eV per cell.

Compound: DyTm3Pb4
Source: Alexandria
Functional: PBE
Structure: relaxed

abc: 6.3611 6.3614 11.0823
angles: 90.00 90.00 90.00
Fractional positions:
1 Pb 0.9995 0.8102 0.0000
2 Pb 0.4995 0.3104 0.0000
3 Pb 0.7487 0.0608 0.7501
4 Pb 0.2513 0.5608 0.7499
5 Pb 0.5005 0.8104 0.5000
6 Pb 0.0005 0.3102 0.5000
7 Pb 0.2513 0.5608 0.2501
8 Pb 0.7487 0.0608 0.2499
9 Tm 0.9996 0.3102 0.0000
10 Tm 0.2481 0.0608 0.7499
11 Tm 0.7519 0.5608 0.7501
12 Tm 0.0004 0.8102 0.5000
13 Tm 0.7519 0.5608 0.2499
14 Tm 0.2481 0.0608 0.2501
15 Dy 0.4994 0.8106 0.0000
16 Dy 0.5006 0.3106 0.5000

## Properties
Its energy of formation from the pure elements is -0.405 eV/atom. As for the space-group type: Pmn2_1. The value obtained for the density of states at the Fermi level is 10.06 states/eV per cell.

Compound: Ba8Sr6Pt
Source: Alexandria
Functional: PBE
Structure: relaxed

abc: 9.9067 9.9066 9.9067
angles: 72.56 72.56 72.56
Fractional positions:
1 Ba 0.1105 0.6802 0.9630
2 Ba 0.0370 0.8895 0.3198
3 Ba 0.3198 0.0370 0.8895
4 Ba 0.7460 0.7460 0.7460
5 Ba 0.2540 0.2540 0.2540
6 Ba 0.6802 0.9630 0.1105
7 Ba 0.9630 0.1105 0.6802
8 Ba 0.8895 0.3198 0.0370
9 Sr 0.1834 0.4678 0.6018
10 Sr 0.3982 0.8166 0.5322
11 Sr 0.5322 0.3982 0.8166
12 Sr 0.4678 0.6018 0.1834
13 Sr 0.6018 0.1834 0.4678
14 Sr 0.8166 0.5322 0.3982
15 Pt 0.0000 0.0000 0.0000

## Properties
Its energy of formation from the pure elements is -0.133 eV/atom. As for the space-group type: R-3. The value obtained for the density of states at the Fermi level is 14.05 states/eV per cell.